An optimized crystal structure of Cd2FeB2Rh5, computed with GGA-PBE.

The structure in POSCAR format:
```
Cd2FeB2Rh5
1.0
-0.505 2.835 0.441
-2.236 1.047 -9.296
-9.205 -1.950 1.995
Cd Fe B Rh
4 2 4 10
direct
0.000 0.678 0.178
0.000 0.322 0.822
0.000 0.178 0.322
0.000 0.822 0.678
0.000 0.000 0.000
0.000 0.500 0.500
0.000 0.125 0.625
0.000 0.875 0.375
0.000 0.625 0.875
0.000 0.375 0.125
0.500 0.218 0.068
0.500 0.782 0.932
0.500 0.068 0.782
0.500 0.718 0.432
0.500 0.932 0.218
0.500 0.282 0.568
0.500 0.568 0.718
0.500 0.432 0.282
0.500 0.500 0.000
0.500 0.000 0.500
```

theoretical density	10.06	Mg/m³
DFT formation energy	-249	meV per atom
DFT total energy	-6.289	eV per atom